Below is crystalline PmHo2Tl2 at its relaxed geometry, with properties calculated at the PBE level.

Cell: 5.2775 6.6461 9.2210 Å, 103.12 90.06 113.37°
Space group P-1 (No. 2)
Inequivalent atoms, fractional coordinates:
Pm1 0.0654 0.1333 0.3530 (multiplicity 2)
Ho1 0.2508 0.5029 0.7527 (multiplicity 2)
Ho2 0.4285 0.8595 0.1393 (multiplicity 2)
Tl1 0.1375 0.2718 0.0404 (multiplicity 2)
Tl2 0.3658 0.7298 0.4469 (multiplicity 2)

Summary:
The value obtained for the total magnetization is 0.000 μB/f.u. The total energy comes out at -4.01 eV/atom. The calculation puts the volume at 28.76 Å³/atom. The value obtained for the calculated formation energy is -1.420 eV per formula unit. Its density of states at the Fermi level is 0.6720 states/eV per atom.

=====

Below is crystalline PmHo6Tl2 at its relaxed geometry, with properties calculated at the PBE level.

Cell: 5.6283 5.6283 20.8560 Å, 90.00 90.00 90.00°
Space group I-42m (No. 121)
Inequivalent atoms, fractional coordinates:
Pm1 0.0000 0.0000 0.0000 (multiplicity 2)
Ho1 0.0000 0.5000 0.2500 (multiplicity 4)
Ho2 0.1926 0.1926 0.5670 (multiplicity 8)
Tl1 0.0000 0.0000 0.3085 (multiplicity 4)

Summary:
The value obtained for the total magnetization is 0.000 μB/f.u. The total energy comes out at -3.55 eV/atom. The calculation puts the volume at 36.70 Å³/atom. The value obtained for the calculated formation energy is 5.025 eV per formula unit. Its density of states at the Fermi level is 1.1857 states/eV per atom.

=====

Below is crystalline Pm4HoTl3 at its relaxed geometry, with properties calculated at the PBE level.

Cell: 5.4877 5.4877 27.9602 Å, 90.00 90.00 120.00°
Space group R-3m (No. 166, hexagonal axes)
Inequivalent atoms, fractional coordinates:
Pm1 0.0000 0.0000 0.1134 (multiplicity 6)
Pm2 0.0000 0.0000 0.3688 (multiplicity 6)
Ho1 0.0000 0.0000 0.5000 (multiplicity 3)
Tl1 0.0000 0.0000 0.0000 (multiplicity 3)
Tl2 0.0000 0.0000 0.2348 (multiplicity 6)

Summary:
The value obtained for the total magnetization is 1.626 μB/f.u. The total energy comes out at -4.07 eV/atom. The calculation puts the volume at 30.38 Å³/atom. The value obtained for the calculated formation energy is -1.913 eV per formula unit. Its density of states at the Fermi level is 1.3023 states/eV per atom.

=====

Below is crystalline Pm6HoTl6 at its relaxed geometry, with properties calculated at the PBE level.

Cell: 6.5196 6.5196 10.8720 Å, 90.00 90.00 120.00°
Space group P6/mmm (No. 191)
Inequivalent atoms, fractional coordinates:
Pm1 0.0000 0.0000 0.1686 (multiplicity 2)
Pm2 0.3333 0.6667 0.0000 (multiplicity 2)
Pm3 0.3333 0.6667 0.5000 (multiplicity 2)
Ho1 0.0000 0.0000 0.5000 (multiplicity 1)
Tl1 0.0000 0.5000 0.2531 (multiplicity 6)

Summary:
The value obtained for the total magnetization is 1.792 μB/f.u. The total energy comes out at -3.84 eV/atom. The calculation puts the volume at 30.78 Å³/atom. The value obtained for the calculated formation energy is -2.656 eV per formula unit. Its density of states at the Fermi level is 1.2177 states/eV per atom.

=====

Below is crystalline PmHoTl at its relaxed geometry, with properties calculated at the PBE level.

Cell: 5.4677 5.4677 6.7670 Å, 90.00 90.00 120.00°
Space group P6_3/mmc (No. 194)
Inequivalent atoms, fractional coordinates:
Pm1 0.0000 0.0000 0.0000 (multiplicity 2)
Ho1 0.3333 0.6667 0.2500 (multiplicity 2)
Tl1 0.3333 0.6667 0.7500 (multiplicity 2)

Summary:
The value obtained for the total magnetization is 0.000 μB/f.u. The total energy comes out at -4.16 eV/atom. The calculation puts the volume at 29.21 Å³/atom. The value obtained for the calculated formation energy is -0.783 eV per formula unit. Its density of states at the Fermi level is 1.1243 states/eV per atom.

=====

Below is crystalline PmHo2Tl at its relaxed geometry, with properties calculated at the PBE level.

Cell: 4.8983 4.8983 4.8371 Å, 90.00 90.00 90.00°
Space group P4/mmm (No. 123)
Inequivalent atoms, fractional coordinates:
Pm1 0.0000 0.0000 0.0000 (multiplicity 1)
Ho1 0.0000 0.5000 0.5000 (multiplicity 2)
Tl1 0.5000 0.5000 0.0000 (multiplicity 1)

Summary:
The value obtained for the total magnetization is 0.716 μB/f.u. The total energy comes out at -4.25 eV/atom. The calculation puts the volume at 29.01 Å³/atom. The value obtained for the calculated formation energy is -0.726 eV per formula unit. Its density of states at the Fermi level is 1.3386 states/eV per atom.

=====

Below is crystalline Pm4Ho7Tl at its relaxed geometry, with properties calculated at the PBE level.

Cell: 5.5858 5.5858 13.9870 Å, 90.00 90.00 120.00°
Space group P-3m1 (No. 164)
Inequivalent atoms, fractional coordinates:
Pm1 0.3333 0.6667 0.1893 (multiplicity 2)
Pm2 0.3333 0.6667 0.4298 (multiplicity 2)
Ho1 0.0000 0.0000 0.2312 (multiplicity 2)
Ho2 0.0000 0.0000 0.5000 (multiplicity 1)
Ho3 0.3333 0.6667 0.6763 (multiplicity 2)
Ho4 0.3333 0.6667 0.9228 (multiplicity 2)
Tl1 0.0000 0.0000 0.0000 (multiplicity 1)

Summary:
The value obtained for the total magnetization is 0.002 μB/f.u. The total energy comes out at -4.40 eV/atom. The calculation puts the volume at 31.49 Å³/atom. The value obtained for the calculated formation energy is 0.572 eV per formula unit. Its density of states at the Fermi level is 1.6533 states/eV per atom.

=====

Below is crystalline PmHoTl at its relaxed geometry, with properties calculated at the PBE level.

Cell: 5.4740 5.4740 6.8218 Å, 90.00 90.00 120.00°
Space group P6_3/mmc (No. 194)
Inequivalent atoms, fractional coordinates:
Pm1 0.3333 0.6667 0.2500 (multiplicity 2)
Ho1 0.0000 0.0000 0.0000 (multiplicity 2)
Tl1 0.3333 0.6667 0.7500 (multiplicity 2)

Summary:
The value obtained for the total magnetization is 0.500 μB/f.u. The total energy comes out at -4.15 eV/atom. The calculation puts the volume at 29.51 Å³/atom. The value obtained for the calculated formation energy is -0.763 eV per formula unit. Its density of states at the Fermi level is 1.3733 states/eV per atom.

=====

Below is crystalline PmHo3Tl2 at its relaxed geometry, with properties calculated at the PBE level.

Cell: 5.1121 10.0068 6.8331 Å, 90.00 90.00 90.00°
Space group Pmc2_1 (No. 26)
Inequivalent atoms, fractional coordinates:
Pm1 0.0000 0.0432 0.0000 (multiplicity 2)
Ho1 0.0000 0.3167 0.6201 (multiplicity 2)
Ho2 0.5000 0.1921 0.2793 (multiplicity 2)
Ho3 0.5000 0.4556 0.9051 (multiplicity 2)
Tl1 0.0000 0.3679 0.1598 (multiplicity 2)
Tl2 0.5000 0.1363 0.7387 (multiplicity 2)

Summary:
The value obtained for the total magnetization is 0.000 μB/f.u. The total energy comes out at -4.14 eV/atom. The calculation puts the volume at 29.13 Å³/atom. The value obtained for the calculated formation energy is -1.601 eV per formula unit. Its density of states at the Fermi level is 1.0079 states/eV per atom.

=====

Below is crystalline PmHo4Tl2 at its relaxed geometry, with properties calculated at the PBE level.

Cell: 5.0989 5.0989 31.0868 Å, 90.00 90.00 120.00°
Space group R-3m (No. 166, hexagonal axes)
Inequivalent atoms, fractional coordinates:
Pm1 0.0000 0.0000 0.0000 (multiplicity 3)
Ho1 0.0000 0.0000 0.2045 (multiplicity 6)
Ho2 0.0000 0.0000 0.3905 (multiplicity 6)
Tl1 0.0000 0.0000 0.1017 (multiplicity 6)

Summary:
The value obtained for the total magnetization is 0.255 μB/f.u. The total energy comes out at -3.87 eV/atom. The calculation puts the volume at 33.33 Å³/atom. The value obtained for the calculated formation energy is 0.681 eV per formula unit. Its density of states at the Fermi level is 1.1841 states/eV per atom.

=====

Below is crystalline PmHo4Tl7 at its relaxed geometry, with properties calculated at the PBE level.

Cell: 13.3878 5.7332 11.4163 Å, 90.00 123.82 90.00°
Space group C2/m (No. 12)
Inequivalent atoms, fractional coordinates:
Pm1 0.0000 0.0000 0.0000 (multiplicity 2)
Ho1 0.0853 0.5000 0.7828 (multiplicity 4)
Ho2 0.2197 0.5000 0.3284 (multiplicity 4)
Tl1 0.0000 0.5000 0.0000 (multiplicity 2)
Tl2 0.0799 0.0000 0.3290 (multiplicity 4)
Tl3 0.1347 0.5000 0.5454 (multiplicity 4)
Tl4 0.2147 0.0000 0.8951 (multiplicity 4)

Summary:
The value obtained for the total magnetization is 0.000 μB/f.u. The total energy comes out at -3.41 eV/atom. The calculation puts the volume at 30.33 Å³/atom. The value obtained for the calculated formation energy is -1.245 eV per formula unit. Its density of states at the Fermi level is 0.5982 states/eV per atom.

=====

Below is crystalline Pm3HoTl4 at its relaxed geometry, with properties calculated at the PBE level.

Cell: 3.6838 7.2864 18.5450 Å, 90.00 90.00 90.00°
Space group Immm (No. 71)
Inequivalent atoms, fractional coordinates:
Pm1 0.0000 0.0000 0.0000 (multiplicity 2)
Pm2 0.0000 0.5000 0.2177 (multiplicity 4)
Ho1 0.0000 0.0000 0.5000 (multiplicity 2)
Tl1 0.0000 0.2846 0.3742 (multiplicity 8)

Summary:
The value obtained for the total magnetization is 0.232 μB/f.u. The total energy comes out at -3.78 eV/atom. The calculation puts the volume at 31.11 Å³/atom. The value obtained for the calculated formation energy is -1.918 eV per formula unit. Its density of states at the Fermi level is 0.7792 states/eV per atom.

=====

Below is crystalline Pm3Ho4Tl at its relaxed geometry, with properties calculated at the PBE level.

Cell: 11.2682 7.0932 6.2286 Å, 90.00 90.00 90.00°
Space group Pmn2_1 (No. 31)
Inequivalent atoms, fractional coordinates:
Pm1 0.0000 0.1289 0.0000 (multiplicity 2)
Pm2 0.2371 0.1159 0.3489 (multiplicity 4)
Ho1 0.0000 0.3807 0.5414 (multiplicity 2)
Ho2 0.0000 0.6282 0.0199 (multiplicity 2)
Ho3 0.2399 0.6234 0.3636 (multiplicity 4)
Tl1 0.0000 0.8621 0.5287 (multiplicity 2)

Summary:
The value obtained for the total magnetization is 0.000 μB/f.u. The total energy comes out at -4.44 eV/atom. The calculation puts the volume at 31.12 Å³/atom. The value obtained for the calculated formation energy is -0.615 eV per formula unit. Its density of states at the Fermi level is 1.0383 states/eV per atom.

=====

Below is crystalline Pm6HoTl2 at its relaxed geometry, with properties calculated at the PBE level.

Cell: 13.0976 3.8178 12.1214 Å, 90.00 108.06 90.00°
Space group C2/m (No. 12)
Inequivalent atoms, fractional coordinates:
Pm1 0.0155 0.0000 0.3432 (multiplicity 4)
Pm2 0.1833 0.5000 0.8765 (multiplicity 4)
Pm3 0.1934 0.5000 0.5903 (multiplicity 4)
Ho1 0.0000 0.0000 0.0000 (multiplicity 2)
Tl1 0.1366 0.5000 0.1973 (multiplicity 4)

Summary:
The value obtained for the total magnetization is 0.000 μB/f.u. The total energy comes out at -4.35 eV/atom. The calculation puts the volume at 32.02 Å³/atom. The value obtained for the calculated formation energy is -1.352 eV per formula unit. Its density of states at the Fermi level is 1.2392 states/eV per atom.

=====

Below is crystalline Pm4Ho15Tl at its relaxed geometry, with properties calculated at the PBE level.

Cell: 4.9722 4.9722 25.1794 Å, 90.00 90.00 90.00°
Space group P4/mmm (No. 123)
Inequivalent atoms, fractional coordinates:
Pm1 0.0000 0.0000 0.1010 (multiplicity 2)
Pm2 0.0000 0.0000 0.3020 (multiplicity 2)
Ho1 0.0000 0.5000 0.0000 (multiplicity 2)
Ho2 0.0000 0.5000 0.2017 (multiplicity 4)
Ho3 0.0000 0.5000 0.4035 (multiplicity 4)
Ho4 0.5000 0.5000 0.1015 (multiplicity 2)
Ho5 0.5000 0.5000 0.3052 (multiplicity 2)
Ho6 0.5000 0.5000 0.5000 (multiplicity 1)
Tl1 0.0000 0.0000 0.5000 (multiplicity 1)

Summary:
The value obtained for the total magnetization is 0.009 μB/f.u. The total energy comes out at -4.51 eV/atom. The calculation puts the volume at 31.13 Å³/atom. The value obtained for the calculated formation energy is -0.259 eV per formula unit. Its density of states at the Fermi level is 1.1970 states/eV per atom.

=====

Below is crystalline PmHo5Tl3 at its relaxed geometry, with properties calculated at the PBE level.

Cell: 9.3776 9.3776 6.7132 Å, 90.00 90.00 120.00°
Space group P6_3/mcm (No. 193)
Inequivalent atoms, fractional coordinates:
Pm1 0.0000 0.0000 0.0000 (multiplicity 2)
Ho1 0.0000 0.3307 0.2500 (multiplicity 6)
Ho2 0.3333 0.6667 0.0000 (multiplicity 4)
Tl1 0.0000 0.3390 0.7500 (multiplicity 6)

Summary:
The value obtained for the total magnetization is 0.188 μB/f.u. The total energy comes out at -4.12 eV/atom. The calculation puts the volume at 28.40 Å³/atom. The value obtained for the calculated formation energy is -2.309 eV per formula unit. Its density of states at the Fermi level is 1.2021 states/eV per atom.

=====

Below is crystalline PmHo2Tl at its relaxed geometry, with properties calculated at the PBE level.

Cell: 3.6480 3.6480 32.2851 Å, 90.00 90.00 120.00°
Space group R3m (No. 160, hexagonal axes)
Inequivalent atoms, fractional coordinates:
Pm1 0.0000 0.0000 0.0000 (multiplicity 3)
Ho1 0.0000 0.0000 0.5769 (multiplicity 3)
Ho2 0.0000 0.0000 0.7568 (multiplicity 3)
Tl1 0.0000 0.0000 0.1667 (multiplicity 3)

Summary:
The value obtained for the total magnetization is 0.000 μB/f.u. The total energy comes out at -4.17 eV/atom. The calculation puts the volume at 31.01 Å³/atom. The value obtained for the calculated formation energy is -0.401 eV per formula unit. Its density of states at the Fermi level is 1.4434 states/eV per atom.

=====

Below is crystalline Pm5HoTl2 at its relaxed geometry, with properties calculated at the PBE level.

Cell: 3.6774 10.9913 12.4992 Å, 90.00 90.00 90.00°
Space group Immm (No. 71)
Inequivalent atoms, fractional coordinates:
Pm1 0.0000 0.0000 0.0000 (multiplicity 2)
Pm2 0.0000 0.2776 0.3626 (multiplicity 8)
Ho1 0.0000 0.5000 0.0000 (multiplicity 2)
Tl1 0.0000 0.0000 0.2749 (multiplicity 4)

Summary:
The value obtained for the total magnetization is 0.000 μB/f.u. The total energy comes out at -4.24 eV/atom. The calculation puts the volume at 31.58 Å³/atom. The value obtained for the calculated formation energy is -0.844 eV per formula unit. Its density of states at the Fermi level is 1.3369 states/eV per atom.

=====

Below is crystalline Pm3Ho8Tl at its relaxed geometry, with properties calculated at the PBE level.

Cell: 8.6416 8.6416 11.2645 Å, 90.00 90.00 90.00°
Space group I-42m (No. 121)
Inequivalent atoms, fractional coordinates:
Pm1 0.0000 0.0000 0.0000 (multiplicity 2)
Pm2 0.0000 0.5000 0.2500 (multiplicity 4)
Ho1 0.1268 0.1268 0.7548 (multiplicity 8)
Ho2 0.2474 0.2474 0.0160 (multiplicity 8)
Tl1 0.0000 0.0000 0.5000 (multiplicity 2)

Summary:
The value obtained for the total magnetization is 0.000 μB/f.u. The total energy comes out at -3.91 eV/atom. The calculation puts the volume at 35.05 Å³/atom. The value obtained for the calculated formation energy is 6.283 eV per formula unit. Its density of states at the Fermi level is 1.4966 states/eV per atom.

=====

Below is crystalline Pm2Ho8Tl at its relaxed geometry, with properties calculated at the PBE level.

Cell: 18.0129 4.9466 7.8668 Å, 90.00 105.33 90.00°
Space group C2/m (No. 12)
Inequivalent atoms, fractional coordinates:
Pm1 0.2220 0.0000 0.1351 (multiplicity 4)
Ho1 0.0445 0.0000 0.2225 (multiplicity 4)
Ho2 0.0892 0.5000 0.9444 (multiplicity 4)
Ho3 0.1342 0.0000 0.6751 (multiplicity 4)
Ho4 0.1808 0.5000 0.4091 (multiplicity 4)
Tl1 0.0000 0.5000 0.5000 (multiplicity 2)

Summary:
The value obtained for the total magnetization is 0.000 μB/f.u. The total energy comes out at -4.44 eV/atom. The calculation puts the volume at 30.73 Å³/atom. The value obtained for the calculated formation energy is -0.340 eV per formula unit. Its density of states at the Fermi level is 1.3699 states/eV per atom.